Mg2Tl2Ga | Alexandria | PBE | optimized geometry; DFT formation energy = 0.17 eV per formula unit; calculated volume = 25.0 A^3/atom; energy above the lowest structure with this stoichiometry = 0 meV/atom
1.0
7.380 0.000 0.000
0.000 7.380 0.000
0.000 0.000 4.587
Mg Tl Ga
4 4 2
direct
0.148 0.352 0.000
0.352 0.852 0.000
0.648 0.148 0.000
0.852 0.648 0.000
0.162 0.662 0.500
0.338 0.162 0.500
0.662 0.838 0.500
0.838 0.338 0.500
0.000 0.000 0.000
0.500 0.500 0.000

Mg2TlGa6 | Alexandria | PBE | optimized geometry; DFT formation energy = -0.45 eV per formula unit; calculated volume = 21.2 A^3/atom
1.0
6.623 -3.640 0.000
6.623 3.640 0.000
-1.288 0.000 3.951
Mg Tl Ga
2 1 6
direct
0.123 0.123 0.121
0.877 0.877 0.879
0.500 0.500 0.000
0.121 0.500 0.310
0.180 0.820 0.500
0.500 0.121 0.310
0.500 0.879 0.690
0.820 0.180 0.500
0.879 0.500 0.690

TmMgTlGa | Alexandria | PBE | optimized geometry; DFT formation energy = -1.22 eV per formula unit; calculated volume = 22.8 A^3/atom; energy above the lowest structure with this stoichiometry = 0 meV/atom
1.0
4.083 0.000 0.000
0.000 4.631 0.000
0.000 0.000 4.818
Tm Mg Tl Ga
1 1 1 1
direct
0.000 0.000 0.000
0.000 0.500 0.500
0.500 0.000 0.500
0.500 0.500 0.000

TmMgTlGa | Alexandria | PBE | optimized geometry; DFT formation energy = -0.97 eV per formula unit; calculated volume = 23.1 A^3/atom; energy above the lowest structure with this stoichiometry = 61 meV/atom
1.0
7.175 0.000 0.000
0.000 7.175 0.000
0.000 0.000 7.175
Tm Mg Tl Ga
4 4 4 4
direct
0.000 0.000 0.000
0.000 0.500 0.500
0.500 0.000 0.500
0.500 0.500 0.000
0.000 0.000 0.500
0.000 0.500 0.000
0.500 0.000 0.000
0.500 0.500 0.500
0.250 0.250 0.750
0.250 0.750 0.250
0.750 0.250 0.250
0.750 0.750 0.750
0.250 0.250 0.250
0.250 0.750 0.750
0.750 0.250 0.750
0.750 0.750 0.250

MgTlZnGa | Alexandria | PBE | optimized geometry; DFT formation energy = 0.37 eV per formula unit; calculated volume = 21.4 A^3/atom
1.0
6.997 0.000 0.000
0.000 6.997 0.000
0.000 0.000 6.997
Mg Tl Zn Ga
4 4 4 4
direct
0.000 0.000 0.000
0.000 0.500 0.500
0.500 0.000 0.500
0.500 0.500 0.000
0.250 0.250 0.750
0.250 0.750 0.250
0.750 0.250 0.250
0.750 0.750 0.750
0.000 0.000 0.500
0.000 0.500 0.000
0.500 0.000 0.000
0.500 0.500 0.500
0.250 0.250 0.250
0.250 0.750 0.750
0.750 0.250 0.750
0.750 0.750 0.250

Tm2MgGa3 | Alexandria | PBE | optimized geometry; DFT formation energy = -2.94 eV per formula unit; calculated volume = 20.7 A^3/atom; energy above the lowest structure with this stoichiometry = 0 meV/atom
1.0
0.000 4.566 7.828
3.472 0.000 7.828
3.472 4.566 0.000
Tm Mg Ga
4 2 6
direct
0.246 0.754 0.754
0.250 0.250 0.250
0.750 0.750 0.750
0.754 0.246 0.246
0.333 0.333 0.667
0.667 0.667 0.333
0.164 0.164 0.836
0.165 0.671 0.329
0.329 0.835 0.165
0.671 0.165 0.835
0.835 0.329 0.671
0.836 0.836 0.164

Tm3MgGa | Alexandria | PBE | optimized geometry; DFT formation energy = -1.26 eV per formula unit; calculated volume = 25.9 A^3/atom
1.0
8.967 0.000 0.000
0.000 6.622 0.000
-2.268 0.000 8.716
Tm Mg Ga
12 4 4
direct
0.061 0.249 0.390
0.061 0.251 0.890
0.292 0.505 0.198
0.292 0.505 0.698
0.292 0.995 0.198
0.292 0.995 0.698
0.708 0.005 0.302
0.708 0.005 0.802
0.708 0.495 0.302
0.708 0.495 0.802
0.939 0.749 0.110
0.939 0.751 0.610
0.486 0.250 0.496
0.486 0.250 0.996
0.514 0.750 0.004
0.514 0.750 0.504
0.149 0.749 0.912
0.149 0.751 0.412
0.851 0.249 0.588
0.851 0.251 0.088

TmMg2Ga4 | Alexandria | PBE | optimized geometry; DFT formation energy = -2.18 eV per formula unit; calculated volume = 19.9 A^3/atom
1.0
8.220 -2.892 0.000
8.220 2.892 0.000
-0.693 0.000 5.850
Tm Mg Ga
2 4 8
direct
0.222 0.778 0.750
0.778 0.222 0.250
0.223 0.385 0.840
0.385 0.223 0.340
0.615 0.777 0.660
0.777 0.615 0.160
0.109 0.207 0.524
0.207 0.109 0.024
0.212 0.636 0.207
0.364 0.788 0.293
0.636 0.212 0.707
0.788 0.364 0.793
0.793 0.891 0.976
0.891 0.793 0.476

TmMg2Ga2 | Alexandria | PBE | optimized geometry; DFT formation energy = -1.39 eV per formula unit; calculated volume = 21.4 A^3/atom
1.0
4.934 0.000 0.000
0.000 3.650 0.000
-1.027 0.000 11.880
Tm Mg Ga
2 4 4
direct
0.182 0.250 0.241
0.818 0.750 0.759
0.244 0.750 0.478
0.338 0.250 0.883
0.662 0.750 0.117
0.756 0.250 0.522
0.157 0.750 0.036
0.288 0.250 0.659
0.712 0.750 0.341
0.843 0.250 0.964

TmMg8Ga6 | Alexandria | PBE | optimized geometry; DFT formation energy = -1.50 eV per formula unit; calculated volume = 22.2 A^3/atom
1.0
4.080 2.356 5.773
-4.080 2.356 5.773
0.000 -4.711 5.773
Tm Mg Ga
1 8 6
direct
0.000 0.000 0.000
0.111 0.776 0.455
0.224 0.545 0.889
0.335 0.335 0.335
0.455 0.111 0.776
0.545 0.889 0.224
0.665 0.665 0.665
0.776 0.455 0.111
0.889 0.224 0.545
0.059 0.393 0.720
0.280 0.941 0.607
0.393 0.720 0.059
0.607 0.280 0.941
0.720 0.059 0.393
0.941 0.607 0.280

TmMg2Ga9 | Alexandria | PBE | optimized geometry; DFT formation energy = -2.74 eV per formula unit; calculated volume = 18.7 A^3/atom
1.0
4.217 0.000 0.000
0.000 4.217 0.000
0.000 0.000 12.589
Tm Mg Ga
1 2 9
direct
0.000 0.000 0.000
0.000 0.000 0.335
0.000 0.000 0.665
0.000 0.500 0.174
0.000 0.500 0.500
0.000 0.500 0.826
0.500 0.000 0.174
0.500 0.000 0.500
0.500 0.000 0.826
0.500 0.500 0.000
0.500 0.500 0.332
0.500 0.500 0.668

Number 1: VASP energy -2.15 eV/atom, calculated density 7.0 g/cm3, Fermi-level density of states 0.48 states/eV per atom. Number 2: VASP energy -2.68 eV/atom, calculated density 5.9 g/cm3, Fermi-level density of states 0.24 states/eV per atom. Number 3: VASP energy -3.17 eV/atom, calculated density 8.5 g/cm3, Fermi-level density of states 0.41 states/eV per atom. Number 4: VASP energy -3.11 eV/atom, calculated density 8.4 g/cm3, Fermi-level density of states 0.47 states/eV per atom. Number 5: VASP energy -1.97 eV/atom, calculated density 7.1 g/cm3, Fermi-level density of states 0.46 states/eV per atom. Number 6: VASP energy -3.76 eV/atom, calculated density 7.6 g/cm3, Fermi-level density of states 0.44 states/eV per atom. Number 7: VASP energy -3.86 eV/atom, calculated density 7.7 g/cm3, Fermi-level density of states 0.78 states/eV per atom. Number 8: VASP energy -3.14 eV/atom, calculated density 5.9 g/cm3, Fermi-level density of states 0.41 states/eV per atom. Number 9: VASP energy -3.02 eV/atom, calculated density 5.5 g/cm3, Fermi-level density of states 0.37 states/eV per atom. Number 10: VASP energy -2.46 eV/atom, calculated density 3.9 g/cm3, Fermi-level density of states 0.52 states/eV per atom. Number 11: VASP energy -3.14 eV/atom, calculated density 6.3 g/cm3, Fermi-level density of states 0.25 states/eV per atom.